w:
CaAuSe2N | PBE | optimized geometry

density of states at the Fermi level: 3.6 states/eV/cell
space group: P4/mmm (123)
magnetic moment: 1.3 μB/f.u.

The structure in POSCAR format:
```
CaAuSe2N
1.0
5.323 0.000 0.000
0.000 5.323 0.000
0.000 0.000 3.947
Ca Au N Se
1 1 1 2
Direct
0.500 0.500 0.500 Ca
0.000 0.000 0.000 Au
0.000 0.000 0.500 N
0.500 0.000 0.000 Se
0.000 0.500 0.000 Se
```

x:
CaAuSe2N | PBE | optimized geometry

density of states at the Fermi level: 8.2 states/eV/cell
space group: P4/mmm (123)
magnetic moment: 0.2 μB/f.u.

The structure in POSCAR format:
```
CaAuSe2N
1.0
5.448 0.000 0.000
0.000 5.448 0.000
0.000 0.000 4.295
N Se Au Ca
1 2 1 1
Direct
0.000 0.000 0.500 N
0.500 0.000 0.000 Se
0.000 0.500 0.000 Se
0.500 0.500 0.500 Au
0.000 0.000 0.000 Ca
```

Most stable: w. Least stable: x.

w:
CaTeAuN2 | PBE | optimized geometry

density of states at the Fermi level: 2.4 states/eV/cell
space group: P4/mmm (123)
magnetic moment: 2.7 μB/f.u.

The structure in POSCAR format:
```
CaTeAuN2
1.0
4.295 0.000 0.000
0.000 4.295 0.000
0.000 0.000 5.750
N Au Ca Te
2 1 1 1
Direct
0.500 0.000 0.000 N
0.000 0.500 0.000 N
0.000 0.000 0.000 Au
0.500 0.500 0.500 Ca
0.000 0.000 0.500 Te
```

x:
CaTeAuN2 | PBE | optimized geometry

density of states at the Fermi level: 1.2 states/eV/cell
space group: P4/mmm (123)
magnetic moment: 4.5 μB/f.u.

The structure in POSCAR format:
```
CaTeAuN2
1.0
-1.773 3.977 -0.918
-1.359 -1.519 -3.956
-5.700 -1.918 2.695
Te N Ca Au
1 2 1 1
Direct
0.000 0.000 0.500 Te
0.000 0.500 0.000 N
0.500 0.000 0.000 N
0.000 0.000 0.000 Ca
0.500 0.500 0.500 Au
```

Most stable: w. Least stable: x.

w:
NaCaAu | PBE | optimized geometry

density of states at the Fermi level: 2.7 states/eV/cell
space group: Cm (8)
magnetic moment: 0.0 μB/f.u.

The structure in POSCAR format:
```
NaCaAu
1.0
3.828 0.000 -0.001
-0.005 7.073 -0.005
-1.912 -3.539 6.816
Au Na Ca
2 2 2
Direct
0.789 0.213 0.696 Au
0.022 0.446 0.162 Au
0.117 0.040 0.353 Na
0.694 0.618 0.505 Na
0.406 0.572 0.929 Ca
0.405 0.087 0.929 Ca
```

x:
NaCaAu | PBE | optimized geometry

density of states at the Fermi level: 1.6 states/eV/cell
space group: I4mm (107)
magnetic moment: 0.0 μB/f.u.

The structure in POSCAR format:
```
NaCaAu
1.0
3.775 0.000 0.000
0.000 3.775 0.000
-1.888 -1.888 5.798
Au Na Ca
1 1 1
Direct
0.958 0.958 0.916 Au
0.306 0.306 0.613 Na
0.585 0.585 0.171 Ca
```

y:
NaCaAu | PBE | optimized geometry

density of states at the Fermi level: 2.8 states/eV/cell
space group: P2_1/m (11)
magnetic moment: 0.0 μB/f.u.

The structure in POSCAR format:
```
NaCaAu
1.0
-3.238 2.643 -1.938
1.337 -0.947 -3.527
-6.877 -7.285 1.557
Ca Au Na
2 2 2
Direct
0.750 0.081 0.158 Ca
0.250 0.919 0.842 Ca
0.750 0.453 0.907 Au
0.250 0.547 0.093 Au
0.250 0.702 0.401 Na
0.750 0.298 0.599 Na
```

z:
NaCaAu | PBE | optimized geometry

density of states at the Fermi level: 1.1 states/eV/cell
space group: F-43m (216)
magnetic moment: 0.0 μB/f.u.

The structure in POSCAR format:
```
NaCaAu
1.0
5.003 0.000 0.000
2.502 4.333 0.000
2.502 1.444 4.085
Ca Au Na
1 1 1
Direct
0.000 0.000 0.000 Ca
0.250 0.250 0.250 Au
0.500 0.500 0.500 Na
```

Most stable: y. Least stable: w.

w:
NaCaAu3 | PBE | optimized geometry

density of states at the Fermi level: 0.0 states/eV/cell
space group: Pm-3m (221)
magnetic moment: 0.0 μB/f.u.

The structure in POSCAR format:
```
NaCaAu3
1.0
-2.839 0.019 -4.807
1.239 -5.391 -0.753
-4.644 -1.450 2.737
Ca Na Au
1 1 3
Direct
0.000 0.000 0.000 Ca
0.500 0.500 0.500 Na
0.000 0.000 0.500 Au
0.500 0.000 0.000 Au
0.000 0.500 0.000 Au
```

x:
NaCaAu3 | PBE | optimized geometry

density of states at the Fermi level: 3.1 states/eV/cell
space group: I-4m2 (119)
magnetic moment: 0.0 μB/f.u.

The structure in POSCAR format:
```
NaCaAu3
1.0
5.229 0.000 -1.230
-0.289 5.221 -1.230
-0.115 -0.122 11.241
Na Au Ca
2 6 2
Direct
0.858 0.358 0.715 Na
0.642 0.142 0.285 Na
0.669 0.669 0.338 Au
0.121 0.869 0.243 Au
0.131 0.879 0.757 Au
0.121 0.374 0.243 Au
0.626 0.879 0.757 Au
0.331 0.331 0.662 Au
0.000 0.000 0.000 Ca
0.250 0.750 0.500 Ca
```

Most stable: x. Least stable: w.

w:
NaCa2Au6 | PBE | optimized geometry

density of states at the Fermi level: 1.9 states/eV/cell
space group: Immm (71)
magnetic moment: 0.0 μB/f.u.

The structure in POSCAR format:
```
NaCa2Au6
1.0
-1.331 0.203 3.541
-3.198 -7.740 1.269
3.826 -6.509 3.839
Au Ca Na
6 2 1
Direct
0.820 0.488 0.871 Au
0.180 0.512 0.129 Au
0.000 0.191 0.809 Au
0.000 0.809 0.191 Au
0.820 0.871 0.488 Au
0.180 0.129 0.512 Au
0.364 0.136 0.136 Ca
0.636 0.864 0.864 Ca
0.500 0.500 0.500 Na
```

x:
NaCa2Au6 | PBE | optimized geometry

density of states at the Fermi level: 2.9 states/eV/cell
space group: P6/mmm (191)
magnetic moment: 0.0 μB/f.u.

The structure in POSCAR format:
```
NaCa2Au6
1.0
-1.900 2.645 -1.146
2.667 -1.406 -7.671
-6.827 -3.719 2.736
Au Ca Na
6 2 1
Direct
0.500 0.333 0.333 Au
0.500 0.000 0.667 Au
0.500 0.667 0.667 Au
0.500 0.333 0.000 Au
0.500 0.667 0.000 Au
0.500 0.000 0.333 Au
0.000 0.333 0.667 Ca
0.000 0.667 0.333 Ca
0.000 0.000 0.000 Na
```

Most stable: x. Least stable: w.

w:
Na2Ca2Au | PBE | optimized geometry

density of states at the Fermi level: 6.5 states/eV/cell
space group: P4/mbm (127)
magnetic moment: 0.0 μB/f.u.

The structure in POSCAR format:
```
Na2Ca2Au
1.0
-1.001 -7.381 -1.330
1.319 -1.494 7.299
-5.284 0.525 1.062
Na Ca Au
4 4 2
Direct
0.361 0.861 0.000 Na
0.139 0.361 0.000 Na
0.639 0.139 0.000 Na
0.861 0.639 0.000 Na
0.686 0.814 0.500 Ca
0.186 0.686 0.500 Ca
0.314 0.186 0.500 Ca
0.814 0.314 0.500 Ca
0.000 0.000 0.000 Au
0.500 0.500 0.000 Au
```

x:
Na2Ca2Au | PBE | optimized geometry

density of states at the Fermi level: 6.3 states/eV/cell
space group: P4/mbm (127)
magnetic moment: 0.0 μB/f.u.

The structure in POSCAR format:
```
Na2Ca2Au
1.0
-2.349 6.960 2.640
-6.600 -3.228 2.638
2.665 -1.113 5.305
Ca Na Au
4 4 2
Direct
0.332 0.832 0.000 Ca
0.168 0.332 0.000 Ca
0.668 0.168 0.000 Ca
0.832 0.668 0.000 Ca
0.341 0.159 0.500 Na
0.159 0.659 0.500 Na
0.841 0.341 0.500 Na
0.659 0.841 0.500 Na
0.500 0.500 0.000 Au
0.000 0.000 0.000 Au
```

Most stable: x. Least stable: w.

w:
NaCa3Au | PBE | optimized geometry

density of states at the Fermi level: 3.4 states/eV/cell
space group: Pm-3m (221)
magnetic moment: 0.0 μB/f.u.

The structure in POSCAR format:
```
NaCa3Au
1.0
-2.763 -5.041 -0.786
5.051 -2.576 -1.233
0.722 -1.271 5.615
Ca Au Na
3 1 1
Direct
0.000 0.500 0.000 Ca
0.000 0.000 0.500 Ca
0.500 0.000 0.000 Ca
0.000 0.000 0.000 Au
0.500 0.500 0.500 Na
```

x:
NaCa3Au | PBE | optimized geometry

density of states at the Fermi level: 6.5 states/eV/cell
space group: P-1 (2)
magnetic moment: 0.0 μB/f.u.

The structure in POSCAR format:
```
NaCa3Au
1.0
6.284 -0.238 0.431
2.435 5.749 -0.824
1.317 -1.403 9.449
Au Ca Na
2 6 2
Direct
0.934 0.401 0.527 Au
0.434 0.899 0.527 Au
0.754 0.460 0.260 Ca
0.614 0.840 0.794 Ca
0.393 0.441 0.610 Ca
0.995 0.219 0.794 Ca
0.373 0.081 0.261 Ca
0.975 0.859 0.445 Ca
0.392 0.443 0.023 Na
0.976 0.857 0.032 Na
```

Most stable: x. Least stable: w.

w:
NaCaPbAu | PBE | optimized geometry

density of states at the Fermi level: 1.2 states/eV/cell
space group: F-43m (216)
magnetic moment: 0.0 μB/f.u.

The structure in POSCAR format:
```
NaCaPbAu
1.0
5.156 0.000 0.000
2.578 4.465 0.000
2.578 1.488 4.209
Au Pb Ca Na
1 1 1 1
Direct
0.500 0.500 0.500 Au
0.250 0.250 0.250 Pb
0.750 0.750 0.750 Ca
0.000 0.000 0.000 Na
```

x:
NaCaPbAu | PBE | optimized geometry

density of states at the Fermi level: 2.2 states/eV/cell
space group: Pmm2 (25)
magnetic moment: 0.0 μB/f.u.

The structure in POSCAR format:
```
NaCaPbAu
1.0
3.518 0.000 0.000
0.000 3.579 0.000
0.000 0.000 9.233
Au Pb Ca Na
1 1 1 1
Direct
0.500 0.500 0.735 Au
0.500 0.500 0.290 Pb
0.000 0.000 0.555 Ca
0.500 0.000 0.996 Na
```

Most stable: w. Least stable: x.

w:
NaSr2CaAu | PBE | optimized geometry

density of states at the Fermi level: 4.0 states/eV/cell
space group: P4/mmm (123)
magnetic moment: 0.0 μB/f.u.

The structure in POSCAR format:
```
NaSr2CaAu
1.0
-0.228 -5.831 -1.775
2.371 -1.721 5.349
-5.328 -0.465 2.212
Au Ca Na Sr
1 1 1 2
Direct
0.000 0.000 0.000 Au
0.500 0.500 0.500 Ca
0.000 0.000 0.500 Na
0.500 0.000 0.000 Sr
0.000 0.500 0.000 Sr
```

x:
NaSr2CaAu | PBE | optimized geometry

density of states at the Fermi level: 2.9 states/eV/cell
space group: P4/mmm (123)
magnetic moment: 0.0 μB/f.u.

The structure in POSCAR format:
```
NaSr2CaAu
1.0
-0.458 2.142 5.746
3.842 -4.391 1.943
4.540 3.547 -0.960
Ca Au Sr Na
1 1 2 1
Direct
0.000 0.000 0.500 Ca
0.000 0.000 0.000 Au
0.000 0.500 0.000 Sr
0.500 0.000 0.000 Sr
0.500 0.500 0.500 Na
```

Most stable: x. Least stable: w.

w:
NaCaTlAu | PBE | optimized geometry

density of states at the Fermi level: 2.8 states/eV/cell
space group: F-43m (216)
magnetic moment: 0.0 μB/f.u.

The structure in POSCAR format:
```
NaCaTlAu
1.0
5.236 0.000 0.000
2.618 4.535 0.000
2.618 1.512 4.275
Tl Ca Au Na
1 1 1 1
Direct
0.250 0.250 0.250 Tl
0.000 0.000 0.000 Ca
0.750 0.750 0.750 Au
0.500 0.500 0.500 Na
```

x:
NaCaTlAu | PBE | optimized geometry

density of states at the Fermi level: 2.2 states/eV/cell
space group: Pmm2 (25)
magnetic moment: 0.0 μB/f.u.

The structure in POSCAR format:
```
NaCaTlAu
1.0
-0.516 1.226 -3.387
-3.968 0.663 0.845
1.734 7.329 2.389
Na Au Tl Ca
1 1 1 1
Direct
0.500 0.000 0.999 Na
0.500 0.500 0.714 Au
0.500 0.500 0.308 Tl
0.000 0.000 0.555 Ca
```

Most stable: w. Least stable: x.

w:
CaNdAu | PBE | optimized geometry

density of states at the Fermi level: 3.6 states/eV/cell
space group: F-43m (216)
magnetic moment: 0.0 μB/f.u.

The structure in POSCAR format:
```
CaNdAu
1.0
-4.158 -0.298 2.940
-1.331 -4.458 2.092
0.478 -0.700 5.030
Nd Ca Au
1 1 1
Direct
0.000 0.000 0.000 Nd
0.500 0.500 0.500 Ca
0.250 0.250 0.250 Au
```

x:
CaNdAu | PBE | optimized geometry

density of states at the Fermi level: 10.9 states/eV/cell
space group: P-62m (189)
magnetic moment: 0.0 μB/f.u.

The structure in POSCAR format:
```
CaNdAu
1.0
-3.310 -3.534 -1.223
4.655 -2.392 -5.689
0.652 -3.057 7.070
Nd Ca Au
3 3 3
Direct
0.000 0.592 0.592 Nd
0.000 0.000 0.408 Nd
0.000 0.408 0.000 Nd
0.500 0.259 0.259 Ca
0.500 0.741 0.000 Ca
0.500 0.000 0.741 Ca
0.500 0.333 0.667 Au
0.000 0.000 0.000 Au
0.500 0.667 0.333 Au
```

Most stable: x. Least stable: w.

w:
CaNdAu | PBE | optimized geometry

density of states at the Fermi level: 2.9 states/eV/cell
space group: I4mm (107)
magnetic moment: 0.0 μB/f.u.

The structure in POSCAR format:
```
CaNdAu
1.0
-1.405 -1.779 2.943
-2.566 -1.574 -2.176
6.018 -3.354 -1.499
Nd Ca Au
1 1 1
Direct
0.300 0.300 0.599 Nd
0.030 0.030 0.060 Ca
0.671 0.671 0.341 Au
```

x:
CaNdAu | PBE | optimized geometry

density of states at the Fermi level: 3.1 states/eV/cell
space group: P3m1 (156)
magnetic moment: 0.0 μB/f.u.

The structure in POSCAR format:
```
CaNdAu
1.0
-1.802 3.342 1.540
-2.886 0.307 -4.044
-1.514 -2.634 3.943
Ca Nd Au
1 1 1
Direct
0.592 0.667 0.333 Ca
0.068 0.000 0.000 Nd
0.340 0.333 0.667 Au
```

y:
CaNdAu | PBE | optimized geometry

density of states at the Fermi level: 5.2 states/eV/cell
space group: Cmcm (63)
magnetic moment: 0.0 μB/f.u.

The structure in POSCAR format:
```
CaNdAu
1.0
5.249 -0.012 0.003
0.012 5.222 -0.360
-0.010 -2.166 6.668
Ca Nd Au
2 2 2
Direct
0.252 0.392 0.778 Ca
0.752 0.615 0.225 Ca
0.252 0.121 0.238 Nd
0.752 0.886 0.766 Nd
0.252 0.755 0.506 Au
0.752 0.252 0.498 Au
```

Most stable: y. Least stable: x.